First-principles (PBE) data for PmCu6Si4 after structural relaxation, as listed in Alexandria via LeMat-Bulk.

## Properties
ΔE_f (raw): -231 meV/atom

a = 6.7938 Å, b = 6.7938 Å, c = 3.9433 Å
α = 90.00°, β = 90.00°, γ = 120.00°
With the nearest neighbours (Å) after each atom.
Element x y z (fractional)
Pm1 0.0000 0.0000 0.0000  6 Si 3.08, 12 Cu 3.13-3.43
Cu1 0.2069 0.4138 0.5000  4 Si 2.40-2.47, 2 Cu 2.58
Cu2 0.2069 0.7931 0.5000  4 Si 2.40-2.47, 2 Cu 2.58
Cu3 0.5372 0.0744 0.0000  5 Si 2.40-2.50, 2 Cu 2.64
Cu4 0.5372 0.4628 0.0000  5 Si 2.40-2.50, 2 Cu 2.64
Cu5 0.5862 0.7931 0.5000  4 Si 2.40-2.47, 2 Cu 2.58
Cu6 0.9256 0.4628 0.0000  5 Si 2.40-2.50, 2 Cu 2.64
Si1 0.3333 0.6667 0.0000  9 Cu 2.40-2.47
Si2 0.4015 0.2008 0.5000  6 Cu 2.40-2.50
Si3 0.7992 0.2008 0.5000  6 Cu 2.40-2.50
Si4 0.7992 0.5985 0.5000  6 Cu 2.40-2.50